{"formula": "Li6Zn2Sn", "functional": "GGA-PBE", "state": "optimized geometry", "cell": [[3.941, 2.276, 2.727], [-3.941, 2.276, 2.727], [0.000, -4.551, 2.727]], "species": ["Li", "Li", "Li", "Li", "Li", "Li", "Zn", "Zn", "Sn"], "fractional_positions": [[0.000, 0.333, 0.667], [0.000, 0.667, 0.333], [0.333, 0.000, 0.667], [0.333, 0.667, 0.000], [0.667, 0.000, 0.333], [0.667, 0.333, 0.000], [0.154, 0.154, 0.154], [0.846, 0.846, 0.846], [0.500, 0.500, 0.500]], "total_energy_ev_per_atom": -2.24, "polymorph_energy_ev_per_fu": 0.00, "magnetic_moment_mub_per_cell": 0.00, "n_ef_per_ev_cell": 3.5, "spacegroup": "R-3m, No. 166", "formation_enthalpy_0k_mev_per_atom": -231}

=====

{"formula": "PuSbAs2Rh5", "functional": "GGA-PBE", "state": "optimized geometry", "cell": [[4.060, 0.000, 0.000], [0.000, 4.060, 0.000], [0.000, 0.000, 10.779]], "species": ["Pu", "Sb", "As", "As", "Rh", "Rh", "Rh", "Rh", "Rh"], "fractional_positions": [[0.000, 0.000, 0.000], [0.000, 0.000, 0.500], [0.500, 0.500, 0.222], [0.500, 0.500, 0.778], [0.000, 0.500, 0.343], [0.000, 0.500, 0.657], [0.500, 0.000, 0.343], [0.500, 0.000, 0.657], [0.500, 0.500, 0.000]], "total_energy_ev_per_atom": -7.62, "magnetic_moment_mub_per_cell": 5.14, "formation_energy_uncorrected_ev_per_fu": -4.08, "n_ef_per_ev_cell": 15.3, "spacegroup": "P4/mmm, No. 123"}

=====

{"formula": "TlFeHg", "functional": "GGA-PBE", "state": "optimized geometry", "cell": [[4.654, 0.000, 0.000], [-2.327, 4.030, 0.000], [0.000, 0.000, 3.466]], "species": ["Tl", "Fe", "Hg"], "fractional_positions": [[0.000, 0.000, 0.000], [0.667, 0.333, 0.352], [0.333, 0.667, 0.556]], "total_energy_ev_per_atom": -3.10, "polymorph_energy_ev_per_fu": 0.29, "magnetic_moment_mub_per_cell": 2.89, "n_ef_per_ev_cell": 2.8, "spacegroup": "P3m1, No. 156", "formation_enthalpy_0k_mev_per_atom": 610}

=====

{"formula": "TbBeCo2H8", "functional": "GGA-PBE", "state": "optimized geometry", "cell": [[4.418, 0.000, 0.000], [-2.209, 3.826, 0.000], [0.000, 0.000, 5.734]], "species": ["Tb", "Be", "Co", "Co", "H", "H", "H", "H", "H", "H", "H", "H"], "fractional_positions": [[0.000, 0.000, 0.000], [0.000, 0.000, 0.500], [0.333, 0.667, 0.373], [0.667, 0.333, 0.627], [0.143, 0.285, 0.318], [0.143, 0.857, 0.318], [0.285, 0.143, 0.682], [0.333, 0.667, 0.100], [0.667, 0.333, 0.900], [0.715, 0.857, 0.318], [0.857, 0.143, 0.682], [0.857, 0.715, 0.682]], "total_energy_ev_per_atom": -4.10, "magnetic_moment_mub_per_cell": 0.00, "n_ef_per_ev_cell": 3.0, "spacegroup": "P-3m1, No. 164"}

=====

{"formula": "AgBiRu", "functional": "GGA-PBE", "state": "optimized geometry", "cell": [[4.389, 0.000, 0.000], [0.000, 4.389, 0.000], [0.000, 0.000, 6.539]], "species": ["Ag", "Ag", "Bi", "Bi", "Ru", "Ru"], "fractional_positions": [[0.250, 0.250, 0.209], [0.750, 0.750, 0.791], [0.250, 0.250, 0.758], [0.750, 0.750, 0.242], [0.250, 0.750, 0.500], [0.750, 0.250, 0.500]], "total_energy_ev_per_atom": -5.10, "magnetic_moment_mub_per_cell": 0.00, "n_ef_per_ev_cell": 2.8, "spacegroup": "P4/nmm, No. 129", "formation_enthalpy_0k_mev_per_atom": 231}

=====

{"formula": "HfZrCuSe2", "functional": "GGA-PBE", "state": "optimized geometry", "cell": [[4.778, 0.000, 0.000], [0.000, 4.778, 0.000], [0.000, 0.000, 4.754]], "species": ["Hf", "Zr", "Cu", "Se", "Se"], "fractional_positions": [[0.000, 0.000, 0.000], [0.500, 0.500, 0.000], [0.000, 0.000, 0.500], [0.000, 0.500, 0.500], [0.500, 0.000, 0.500]], "total_energy_ev_per_atom": -5.56, "magnetic_moment_mub_per_cell": 0.00, "formation_energy_uncorrected_ev_per_fu": 1.76, "n_ef_per_ev_cell": 3.4, "spacegroup": "P4/mmm, No. 123"}

=====

{"formula": "Ac8HIr3Se3", "functional": "GGA-PBE", "state": "optimized geometry", "cell": [[4.335, 2.503, 7.531], [-4.335, 2.503, 7.531], [0.000, -5.005, 7.531]], "species": ["Ac", "Ac", "Ac", "Ac", "Ac", "Ac", "Ac", "Ac", "H", "Ir", "Ir", "Ir", "Se", "Se", "Se"], "fractional_positions": [[0.235, 0.744, 0.744], [0.241, 0.241, 0.241], [0.256, 0.256, 0.765], [0.256, 0.765, 0.256], [0.744, 0.235, 0.744], [0.744, 0.744, 0.235], [0.759, 0.759, 0.759], [0.765, 0.256, 0.256], [0.500, 0.500, 0.500], [0.000, 0.000, 0.500], [0.000, 0.500, 0.000], [0.500, 0.000, 0.000], [0.000, 0.500, 0.500], [0.500, 0.000, 0.500], [0.500, 0.500, 0.000]], "total_energy_ev_per_atom": -5.92, "magnetic_moment_mub_per_cell": 0.00, "n_ef_per_ev_cell": 12.0, "spacegroup": "R-3m, No. 166"}

=====

{"formula": "TbCuGePt3", "functional": "GGA-PBE", "state": "optimized geometry", "cell": [[3.385, -5.802, 0.000], [3.385, 5.802, 0.000], [0.000, 0.000, 5.649]], "species": ["Tb", "Tb", "Cu", "Cu", "Ge", "Ge", "Pt", "Pt", "Pt", "Pt", "Pt", "Pt"], "fractional_positions": [[0.200, 0.800, 0.750], [0.800, 0.200, 0.250], [0.434, 0.566, 0.750], [0.566, 0.434, 0.250], [0.130, 0.870, 0.250], [0.870, 0.130, 0.750], [0.214, 0.214, 0.000], [0.214, 0.214, 0.500], [0.336, 0.664, 0.250], [0.664, 0.336, 0.750], [0.786, 0.786, 0.000], [0.786, 0.786, 0.500]], "total_energy_ev_per_atom": -5.80, "magnetic_moment_mub_per_cell": 0.00, "n_ef_per_ev_cell": 6.9, "spacegroup": "Cmcm, No. 63", "formation_enthalpy_0k_mev_per_atom": -555}